BePSe2 | PBE-GGA | relaxed

The structure in POSCAR format:
```
BePSe2
1.0
-2.3883 5.2867 -2.7839
-3.5709 2.5014 -4.7323
-5.2217 3.3756 -1.6560
P Se Be
1 2 1
Direct
0.7500 0.7500 0.7500
0.5088 0.5088 0.5088
0.9912 0.9912 0.9912
0.2500 0.2500 0.2500
```

Properties
* distance to the lowest polymorph of the same formula: 0.212 eV per atom
* crystal system: trigonal
* uncorrected energy: -3.88 eV per atom

BePSe2 | PBE-GGA | relaxed

The structure in POSCAR format:
```
BePSe2
1.0
-1.4775 5.1142 3.0033
-4.8353 0.7535 -3.6619
-5.5657 0.6461 2.3812
P Be Se
2 2 4
Direct
0.0000 0.0000 0.0000
0.7500 0.2500 0.5000
0.5000 0.5000 0.0000
0.2500 0.7500 0.5000
0.3750 0.4245 0.7500
0.8750 0.8255 0.7500
0.1745 0.6250 0.2500
0.5755 0.1250 0.2500
```

Properties
* distance to the lowest polymorph of the same formula: 0.147 eV per atom
* crystal system: tetragonal
* uncorrected energy: -3.94 eV per atom

BePSe2 | PBE-GGA | relaxed

The structure in POSCAR format:
```
BePSe2
1.0
-2.6809 -1.8238 3.1659
-0.6378 2.1465 3.9398
-4.0149 1.8849 0.9293
Se P Be
2 1 1
Direct
0.2500 0.2500 0.2500
0.7500 0.7500 0.7500
0.5000 0.5000 0.5000
0.0000 0.0000 0.0000
```

Properties
* distance to the lowest polymorph of the same formula: 0.730 eV per atom
* crystal system: cubic
* uncorrected energy: -3.36 eV per atom

BePSe2 | PBE-GGA | relaxed

The structure in POSCAR format:
```
BePSe2
1.0
3.1702 0.0119 0.0000
-1.4874 2.7996 0.0000
0.0000 0.0000 8.8292
Be Se P
1 2 1
Direct
0.0000 0.0000 0.5164
0.0000 0.0000 0.9221
0.5000 0.5000 0.3538
0.5000 0.5000 0.7077
```

Properties
* distance to the lowest polymorph of the same formula: 0.387 eV per atom
* crystal system: orthorhombic
* uncorrected energy: -3.70 eV per atom

Which density of states at the Fermi level belongs to each record? In order, 1.204 2.207 2.749 1.780 states/eV/f.u..
Which M_tot belongs to each record? In order, 0.000 0.000 0.000 0.000 μB/cell.
Which formation energy (no corrections) belongs to each record? In order, 147 83 665 322 meV per atom.